Density functional theory data (SCAN) for a PBEsol-optimized structure of ZrZn3.

Computed properties:
formation energy	-0.352	eV per atom

abc: 4.079 5.490 5.662
angles: 90.00 90.00 90.00
Element x y z (fractional)
Zr 0.500 0.500 0.598
Zn 0.500 0.247 0.139
Zn 0.000 0.253 0.861
Zn 0.000 0.747 0.861
Zn 0.500 0.753 0.139
Zn 0.000 0.500 0.254
Zr 0.000 0.000 0.402
Zn 0.500 0.000 0.746


Density functional theory data (SCAN) for a PBEsol-optimized structure of Zr5Zn3.

Computed properties:
formation energy	-0.197	eV per atom
ΔE to the lowest computed polymorph	68	meV/atom

abc: 4.393 5.881 5.881
angles: 96.77 90.00 90.00
Element x y z (fractional)
Zr 0.000 0.500 0.000
Zn 0.500 0.236 0.764
Zr 0.500 0.268 0.268
Zr 0.000 0.000 0.000
Zn 0.500 0.764 0.236
Zr 0.500 0.732 0.732
Zn 0.000 0.500 0.500
Zr 0.000 0.000 0.500